# 1
This record from the Alexandria database describes a relaxed structure of Tl3SnPb2. The functional is PBE.

Computed properties:
Its magnetization is 0.00 Bohr magnetons per cell. Its formation energy is 0.04 eV/atom. The crystal system is monoclinic. The total energy is -3.0509 eV per atom. As for the energy above the most stable polymorph in this dataset: 33.0 meV/atom.

Geometry as CIF:
```
data_Tl3SnPb2
_chemical_formula_sum 'Tl6 Sn2 Pb4'
_space_group_name_H-M_alt 'P 1'
_space_group_IT_number 1
_cell_length_a 8.999
_cell_length_b 8.999
_cell_length_c 14.005
_cell_angle_alpha 118.17
_cell_angle_beta 118.17
_cell_angle_gamma 22.03
loop_
_space_group_symop_operation_xyz
'x,y,z'
loop_
_atom_site_label
_atom_site_fract_x
_atom_site_fract_y
_atom_site_fract_z
Tl1 0.041 0.041 0.216
Tl2 0.254 0.254 0.701
Tl3 0.396 0.396 0.966
Tl4 0.604 0.604 0.034
Tl5 0.746 0.746 0.299
Tl6 0.959 0.959 0.784
Sn1 0.436 0.436 0.365
Sn2 0.564 0.564 0.635
Pb1 0.176 0.176 0.878
Pb2 0.355 0.355 0.538
Pb3 0.645 0.645 0.462
Pb4 0.824 0.824 0.122
```

---

# 2
This record from the Alexandria database describes a relaxed structure of Tl5SnPb2. The functional is PBE.

Computed properties:
Its magnetization is 0.00 Bohr magnetons per cell. Its formation energy is 0.01 eV/atom. The crystal system is orthorhombic. The total energy is -2.8986 eV per atom.

Geometry as CIF:
```
data_Tl5SnPb2
_chemical_formula_sum 'Tl10 Sn2 Pb4'
_space_group_name_H-M_alt 'P 1'
_space_group_IT_number 1
_cell_length_a 7.087
_cell_length_b 14.193
_cell_length_c 4.874
_cell_angle_alpha 90.00
_cell_angle_beta 90.00
_cell_angle_gamma 90.00
loop_
_space_group_symop_operation_xyz
'x,y,z'
loop_
_atom_site_label
_atom_site_fract_x
_atom_site_fract_y
_atom_site_fract_z
Tl1 0.000 0.000 0.000
Tl2 0.018 0.256 0.000
Tl3 0.233 0.873 0.500
Tl4 0.267 0.373 0.500
Tl5 0.482 0.756 0.000
Tl6 0.500 0.500 0.000
Tl7 0.518 0.244 0.000
Tl8 0.733 0.627 0.500
Tl9 0.767 0.127 0.500
Tl10 0.982 0.744 0.000
Sn1 0.000 0.500 0.000
Sn2 0.500 0.000 0.000
Pb1 0.232 0.617 0.500
Pb2 0.268 0.117 0.500
Pb3 0.732 0.883 0.500
Pb4 0.768 0.383 0.500
```

---

# 3
This record from the Alexandria database describes a relaxed structure of Tl2Sn3Pb7. The functional is PBE.

Computed properties:
Its magnetization is 0.00 Bohr magnetons per cell. Its formation energy is 0.04 eV/atom. The crystal system is monoclinic. The total energy is -3.5163 eV per atom.

Geometry as CIF:
```
data_Tl2Sn3Pb7
_chemical_formula_sum 'Tl2 Sn3 Pb7'
_space_group_name_H-M_alt 'P 1'
_space_group_IT_number 1
_cell_length_a 6.087
_cell_length_b 3.494
_cell_length_c 17.816
_cell_angle_alpha 90.00
_cell_angle_beta 97.21
_cell_angle_gamma 90.00
loop_
_space_group_symop_operation_xyz
'x,y,z'
loop_
_atom_site_label
_atom_site_fract_x
_atom_site_fract_y
_atom_site_fract_z
Tl1 0.245 0.000 0.165
Tl2 0.755 0.000 0.835
Sn1 0.000 0.000 0.500
Sn2 0.268 0.500 0.815
Sn3 0.732 0.500 0.185
Pb1 0.115 0.500 0.334
Pb2 0.240 0.000 0.967
Pb3 0.380 0.000 0.658
Pb4 0.500 0.500 0.500
Pb5 0.620 0.000 0.342
Pb6 0.760 0.000 0.033
Pb7 0.885 0.500 0.666
```

---

# 4
This record from the Alexandria database describes a relaxed structure of TlVSn2Pb. The functional is PBE.

Computed properties:
Its magnetization is 0.24 Bohr magnetons per cell. Its formation energy is 0.19 eV/atom. The crystal system is tetragonal. The total energy is -4.4520 eV per atom.

Geometry as CIF:
```
data_TlVSn2Pb
_chemical_formula_sum 'Tl1 V1 Sn2 Pb1'
_space_group_name_H-M_alt 'P 1'
_space_group_IT_number 1
_cell_length_a 5.219
_cell_length_b 5.219
_cell_length_c 5.331
_cell_angle_alpha 90.00
_cell_angle_beta 90.00
_cell_angle_gamma 90.00
loop_
_space_group_symop_operation_xyz
'x,y,z'
loop_
_atom_site_label
_atom_site_fract_x
_atom_site_fract_y
_atom_site_fract_z
Tl1 0.000 0.000 0.000
V1 0.500 0.500 0.500
Sn1 0.000 0.500 0.500
Sn2 0.500 0.000 0.500
Pb1 0.500 0.500 0.000
```

---

# 5
This record from the Alexandria database describes a relaxed structure of Tm8Sn2Pb3. The functional is PBE.

Computed properties:
Its magnetization is 0.00 Bohr magnetons per cell. Its formation energy is -0.29 eV/atom. The crystal system is orthorhombic. The total energy is -4.5114 eV per atom.

Geometry as CIF:
```
data_Tm8Sn2Pb3
_chemical_formula_sum 'Tm8 Sn2 Pb3'
_space_group_name_H-M_alt 'P 1'
_space_group_IT_number 1
_cell_length_a 9.065
_cell_length_b 9.065
_cell_length_c 5.091
_cell_angle_alpha 90.00
_cell_angle_beta 90.00
_cell_angle_gamma 110.57
loop_
_space_group_symop_operation_xyz
'x,y,z'
loop_
_atom_site_label
_atom_site_fract_x
_atom_site_fract_y
_atom_site_fract_z
Tm1 0.125 0.381 0.500
Tm2 0.127 0.873 0.000
Tm3 0.372 0.628 0.000
Tm4 0.381 0.125 0.500
Tm5 0.619 0.875 0.500
Tm6 0.628 0.372 0.000
Tm7 0.873 0.127 0.000
Tm8 0.875 0.619 0.500
Sn1 0.241 0.759 0.500
Sn2 0.759 0.241 0.500
Pb1 0.232 0.232 0.000
Pb2 0.500 0.500 0.500
Pb3 0.768 0.768 0.000
```

---

# 6
This record from the Alexandria database describes a relaxed structure of Tm4Sn2Pb. The functional is PBE.

Computed properties:
Its magnetization is 0.00 Bohr magnetons per cell. Its formation energy is -0.27 eV/atom. The crystal system is monoclinic. The total energy is -4.4989 eV per atom.

Geometry as CIF:
```
data_Tm4Sn2Pb
_chemical_formula_sum 'Tm4 Sn2 Pb1'
_space_group_name_H-M_alt 'P 1'
_space_group_IT_number 1
_cell_length_a 7.785
_cell_length_b 7.785
_cell_length_c 7.536
_cell_angle_alpha 117.58
_cell_angle_beta 117.58
_cell_angle_gamma 33.63
loop_
_space_group_symop_operation_xyz
'x,y,z'
loop_
_atom_site_label
_atom_site_fract_x
_atom_site_fract_y
_atom_site_fract_z
Tm1 0.124 0.124 0.261
Tm2 0.375 0.375 0.179
Tm3 0.625 0.625 0.821
Tm4 0.876 0.876 0.739
Sn1 0.242 0.242 0.730
Sn2 0.758 0.758 0.270
Pb1 0.000 0.000 0.500
```

---

Number 6 is which compound? Tm4Sn2Pb

---

What is the total energy in the third record? -3.5163 eV per atom

---

What did the fifth record say?
This record from the Alexandria database describes a relaxed structure of Tm8Sn2Pb3. The functional is PBE.

Computed properties:
Its magnetization is 0.00 Bohr magnetons per cell. Its formation energy is -0.29 eV/atom. The crystal system is orthorhombic. The total energy is -4.5114 eV per atom.

Geometry as CIF:
```
data_Tm8Sn2Pb3
_chemical_formula_sum 'Tm8 Sn2 Pb3'
_space_group_name_H-M_alt 'P 1'
_space_group_IT_number 1
_cell_length_a 9.065
_cell_length_b 9.065
_cell_length_c 5.091
_cell_angle_alpha 90.00
_cell_angle_beta 90.00
_cell_angle_gamma 110.57
loop_
_space_group_symop_operation_xyz
'x,y,z'
loop_
_atom_site_label
_atom_site_fract_x
_atom_site_fract_y
_atom_site_fract_z
Tm1 0.125 0.381 0.500
Tm2 0.127 0.873 0.000
Tm3 0.372 0.628 0.000
Tm4 0.381 0.125 0.500
Tm5 0.619 0.875 0.500
Tm6 0.628 0.372 0.000
Tm7 0.873 0.127 0.000
Tm8 0.875 0.619 0.500
Sn1 0.241 0.759 0.500
Sn2 0.759 0.241 0.500
Pb1 0.232 0.232 0.000
Pb2 0.500 0.500 0.500
Pb3 0.768 0.768 0.000
```